Material: Na3VPCO7
Method: DFT, SCAN
State: single point on PBEsol structure

a = 5.315 Å, b = 6.621 Å, c = 8.751 Å
α = 90.00°, β = 91.47°, γ = 90.00°
Positions (direct):
Na  0.000  0.000  0.000
Na  0.000  0.500  0.000
Na  0.446  0.250  0.841
Na  0.499  0.000  0.500
Na  0.501  0.500  0.500
Na  0.554  0.750  0.159
V  0.056  0.750  0.723
V  0.944  0.250  0.277
P  0.012  0.750  0.346
P  0.988  0.250  0.654
C  0.496  0.250  0.170
C  0.504  0.750  0.830
O  0.089  0.435  0.749
O  0.090  0.064  0.749
O  0.109  0.250  0.495
O  0.264  0.250  0.122
O  0.300  0.750  0.355
O  0.318  0.750  0.928
O  0.442  0.749  0.688
O  0.558  0.249  0.312
O  0.682  0.250  0.072
O  0.700  0.250  0.645
O  0.736  0.750  0.878
O  0.891  0.750  0.505
O  0.910  0.564  0.251
O  0.911  0.935  0.251

Space-group type: P2_1 (4)
E above lowest polymorph, meV/atom: 29


Material: NaPrC2O6
Method: DFT, SCAN
State: single point on PBEsol structure

a = 5.123 Å, b = 6.366 Å, c = 7.093 Å
α = 90.00°, β = 90.00°, γ = 90.00°
Positions (direct):
Na  0.000  0.019  0.000
Na  0.000  0.981  0.500
Pr  0.500  0.367  0.297
Pr  0.500  0.633  0.797
C  0.000  0.467  0.967
C  0.000  0.533  0.467
C  0.500  0.085  0.715
C  0.500  0.915  0.215
O  0.000  0.356  0.379
O  0.000  0.644  0.879
O  0.222  0.378  0.005
O  0.222  0.622  0.505
O  0.286  0.011  0.252
O  0.286  0.989  0.752
O  0.500  0.270  0.635
O  0.500  0.730  0.135
O  0.714  0.011  0.252
O  0.714  0.989  0.752
O  0.778  0.378  0.005
O  0.778  0.622  0.505

Space-group type: Pmc2_1 (26)


Number 1: volume 153.92 Å³/f.u., DFT total energy -9.458 eV per atom. Number 2: volume 115.65 Å³/f.u., DFT total energy -12.820 eV per atom.